#w
Compound: ErZn2Cu2
Source: Alexandria via LeMat-Bulk
Functional: PBE
Structure: optimized geometry

Values from the calculation:
DOS at the Fermi energy = 0.513 states/eV per atom
symmetry = I4/mmm

CIF file:
```
data_ErZn2Cu2
_cell_length_a 3.8930
_cell_length_b 3.8930
_cell_length_c 6.2121
_cell_angle_alpha 108.26
_cell_angle_beta 108.26
_cell_angle_gamma 90.00
_symmetry_space_group_name_H-M 'P 1'
_symmetry_Int_Tables_number 1
loop_
_symmetry_equiv_pos_as_xyz
'x,y,z'
loop_
_atom_site_label
_atom_site_type_symbol
_atom_site_fract_x
_atom_site_fract_y
_atom_site_fract_z
_atom_site_occupancy
Er1 Er 0.0000 0.0000 0.0000 1
Zn1 Zn 0.7500 0.2500 0.5000 1
Zn2 Zn 0.2500 0.7500 0.5000 1
Cu1 Cu 0.6071 0.6071 0.2142 1
Cu2 Cu 0.3929 0.3929 0.7858 1
```



#x
Compound: ErZn2Cu2
Source: Alexandria via LeMat-Bulk
Functional: PBE
Structure: optimized geometry

Values from the calculation:
DOS at the Fermi energy = 0.369 states/eV per atom
symmetry = Pmmn

CIF file:
```
data_ErZn2Cu2
_cell_length_a 3.6660
_cell_length_b 4.0465
_cell_length_c 11.3241
_cell_angle_alpha 90.01
_cell_angle_beta 90.00
_cell_angle_gamma 90.00
_symmetry_space_group_name_H-M 'P 1'
_symmetry_Int_Tables_number 1
loop_
_symmetry_equiv_pos_as_xyz
'x,y,z'
loop_
_atom_site_label
_atom_site_type_symbol
_atom_site_fract_x
_atom_site_fract_y
_atom_site_fract_z
_atom_site_occupancy
Er1 Er 0.2500 0.7497 0.2514 1
Er2 Er 0.7500 0.2503 0.7486 1
Zn1 Zn 0.2500 0.7505 0.8627 1
Zn2 Zn 0.7500 0.2495 0.1373 1
Zn3 Zn 0.2500 0.2502 0.5100 1
Zn4 Zn 0.7500 0.7498 0.4900 1
Cu1 Cu 0.2500 0.7503 0.6464 1
Cu2 Cu 0.7500 0.2497 0.3536 1
Cu3 Cu 0.2500 0.2504 0.9885 1
Cu4 Cu 0.7500 0.7496 0.0115 1
```



Which one sits at the top of the stability order? #w does.



#w
Compound: ErZr2Cu
Source: Alexandria via LeMat-Bulk
Functional: PBE
Structure: optimized geometry

Values from the calculation:
DOS at the Fermi energy = 1.125 states/eV per atom
symmetry = P4/mmm

CIF file:
```
data_ErZr2Cu
_cell_length_a 3.2794
_cell_length_b 3.2794
_cell_length_c 8.0613
_cell_angle_alpha 90.00
_cell_angle_beta 90.00
_cell_angle_gamma 90.00
_symmetry_space_group_name_H-M 'P 1'
_symmetry_Int_Tables_number 1
loop_
_symmetry_equiv_pos_as_xyz
'x,y,z'
loop_
_atom_site_label
_atom_site_type_symbol
_atom_site_fract_x
_atom_site_fract_y
_atom_site_fract_z
_atom_site_occupancy
Cu1 Cu 0.5000 0.5000 0.0000 1
Zr1 Zr 0.0000 0.0000 0.7912 1
Zr2 Zr 0.0000 0.0000 0.2088 1
Er1 Er 0.5000 0.5000 0.5000 1
```



#x
Compound: ErZr2Cu
Source: Alexandria via LeMat-Bulk
Functional: PBE
Structure: optimized geometry

Values from the calculation:
DOS at the Fermi energy = 1.216 states/eV per atom
symmetry = R-3m

CIF file:
```
data_ErZr2Cu
_cell_length_a 3.1264
_cell_length_b 3.1264
_cell_length_c 10.9031
_cell_angle_alpha 81.76
_cell_angle_beta 81.76
_cell_angle_gamma 60.00
_symmetry_space_group_name_H-M 'P 1'
_symmetry_Int_Tables_number 1
loop_
_symmetry_equiv_pos_as_xyz
'x,y,z'
loop_
_atom_site_label
_atom_site_type_symbol
_atom_site_fract_x
_atom_site_fract_y
_atom_site_fract_z
_atom_site_occupancy
Cu1 Cu 0.5000 0.5000 0.5000 1
Zr1 Zr 0.0994 0.0994 0.7019 1
Zr2 Zr 0.9006 0.9006 0.2981 1
Er1 Er 0.0000 0.0000 0.0000 1
```



#y
Compound: ErZr2Cu
Source: Alexandria via LeMat-Bulk
Functional: PBE
Structure: optimized geometry

Values from the calculation:
DOS at the Fermi energy = 1.408 states/eV per atom
symmetry = R3m

CIF file:
```
data_ErZr2Cu
_cell_length_a 3.2904
_cell_length_b 3.2904
_cell_length_c 9.8039
_cell_angle_alpha 80.34
_cell_angle_beta 80.34
_cell_angle_gamma 60.00
_symmetry_space_group_name_H-M 'P 1'
_symmetry_Int_Tables_number 1
loop_
_symmetry_equiv_pos_as_xyz
'x,y,z'
loop_
_atom_site_label
_atom_site_type_symbol
_atom_site_fract_x
_atom_site_fract_y
_atom_site_fract_z
_atom_site_occupancy
Er1 Er 0.4997 0.4997 0.5008 1
Zr1 Zr 0.0716 0.0716 0.7853 1
Zr2 Zr 0.2619 0.2619 0.2144 1
Cu1 Cu 0.6668 0.6668 0.9995 1
```



Which one sits at the top of the stability order? #w does.



#w
Compound: ErZrCu4
Source: Alexandria via LeMat-Bulk
Functional: PBE
Structure: optimized geometry

Values from the calculation:
DOS at the Fermi energy = 0.725 states/eV per atom
symmetry = F-43m

CIF file:
```
data_ErZrCu4
_cell_length_a 5.1428
_cell_length_b 5.1428
_cell_length_c 5.1428
_cell_angle_alpha 60.00
_cell_angle_beta 60.00
_cell_angle_gamma 60.00
_symmetry_space_group_name_H-M 'P 1'
_symmetry_Int_Tables_number 1
loop_
_symmetry_equiv_pos_as_xyz
'x,y,z'
loop_
_atom_site_label
_atom_site_type_symbol
_atom_site_fract_x
_atom_site_fract_y
_atom_site_fract_z
_atom_site_occupancy
Cu1 Cu 0.6243 0.6243 0.1270 1
Cu2 Cu 0.6243 0.1270 0.6243 1
Cu3 Cu 0.6243 0.6243 0.6243 1
Cu4 Cu 0.1270 0.6243 0.6243 1
Zr1 Zr 0.2500 0.2500 0.2500 1
Er1 Er 0.0000 0.0000 0.0000 1
```



#x
Compound: ErZrCu4
Source: Alexandria via LeMat-Bulk
Functional: PBE
Structure: optimized geometry

Values from the calculation:
DOS at the Fermi energy = 0.685 states/eV per atom
symmetry = Pmmm

CIF file:
```
data_ErZrCu4
_cell_length_a 3.1727
_cell_length_b 4.2887
_cell_length_c 7.3595
_cell_angle_alpha 90.00
_cell_angle_beta 90.00
_cell_angle_gamma 90.00
_symmetry_space_group_name_H-M 'P 1'
_symmetry_Int_Tables_number 1
loop_
_symmetry_equiv_pos_as_xyz
'x,y,z'
loop_
_atom_site_label
_atom_site_type_symbol
_atom_site_fract_x
_atom_site_fract_y
_atom_site_fract_z
_atom_site_occupancy
Er1 Er 0.9986 0.9973 0.4981 1
Zr1 Zr 0.9986 0.4973 0.9981 1
Cu1 Cu 0.4986 0.9973 0.1617 1
Cu2 Cu 0.4985 0.9973 0.8346 1
Cu3 Cu 0.4986 0.4973 0.6688 1
Cu4 Cu 0.4986 0.4973 0.3275 1
```



Which one sits at the top of the stability order? #x does.



#w
Compound: EuGdCu
Source: Alexandria via LeMat-Bulk
Functional: PBE
Structure: optimized geometry

Values from the calculation:
DOS at the Fermi energy = 1.265 states/eV per atom
symmetry = I4mm

CIF file:
```
data_EuGdCu
_cell_length_a 3.5914
_cell_length_b 3.5914
_cell_length_c 6.8715
_cell_angle_alpha 105.15
_cell_angle_beta 105.15
_cell_angle_gamma 90.00
_symmetry_space_group_name_H-M 'P 1'
_symmetry_Int_Tables_number 1
loop_
_symmetry_equiv_pos_as_xyz
'x,y,z'
loop_
_atom_site_label
_atom_site_type_symbol
_atom_site_fract_x
_atom_site_fract_y
_atom_site_fract_z
_atom_site_occupancy
Eu1 Eu 0.0258 0.0258 0.0516 1
Gd1 Gd 0.2966 0.2966 0.5932 1
Cu1 Cu 0.6776 0.6776 0.3552 1
```



#x
Compound: EuGdCu
Source: Alexandria via LeMat-Bulk
Functional: PBE
Structure: optimized geometry

Values from the calculation:
DOS at the Fermi energy = 1.254 states/eV per atom
symmetry = P3m1

CIF file:
```
data_EuGdCu
_cell_length_a 4.8342
_cell_length_b 4.8342
_cell_length_c 4.0703
_cell_angle_alpha 90.00
_cell_angle_beta 90.00
_cell_angle_gamma 120.00
_symmetry_space_group_name_H-M 'P 1'
_symmetry_Int_Tables_number 1
loop_
_symmetry_equiv_pos_as_xyz
'x,y,z'
loop_
_atom_site_label
_atom_site_type_symbol
_atom_site_fract_x
_atom_site_fract_y
_atom_site_fract_z
_atom_site_occupancy
Eu1 Eu 0.0000 0.0000 0.2901 1
Gd1 Gd 0.3333 0.6667 0.7615 1
Cu1 Cu 0.6667 0.3333 0.9484 1
```



Which one sits at the top of the stability order? #w does.



#w
Compound: Eu2CuI
Source: Alexandria via LeMat-Bulk
Functional: PBE
Structure: optimized geometry

Values from the calculation:
DOS at the Fermi energy = 0.647 states/eV per atom
symmetry = P4/mmm

CIF file:
```
data_Eu2CuI
_cell_length_a 3.8069
_cell_length_b 3.8069
_cell_length_c 8.2584
_cell_angle_alpha 90.00
_cell_angle_beta 90.00
_cell_angle_gamma 90.00
_symmetry_space_group_name_H-M 'P 1'
_symmetry_Int_Tables_number 1
loop_
_symmetry_equiv_pos_as_xyz
'x,y,z'
loop_
_atom_site_label
_atom_site_type_symbol
_atom_site_fract_x
_atom_site_fract_y
_atom_site_fract_z
_atom_site_occupancy
Eu1 Eu 0.0000 0.0000 0.7866 1
Eu2 Eu 0.0000 0.0000 0.2134 1
I1 I 0.5000 0.5000 0.5000 1
Cu1 Cu 0.5000 0.5000 0.0000 1
```



#x
Compound: Eu2CuI
Source: Alexandria via LeMat-Bulk
Functional: PBE
Structure: optimized geometry

Values from the calculation:
DOS at the Fermi energy = 4.608 states/eV per atom
symmetry = R-3m

CIF file:
```
data_Eu2CuI
_cell_length_a 4.3217
_cell_length_b 4.3217
_cell_length_c 8.5599
_cell_angle_alpha 75.38
_cell_angle_beta 75.38
_cell_angle_gamma 60.00
_symmetry_space_group_name_H-M 'P 1'
_symmetry_Int_Tables_number 1
loop_
_symmetry_equiv_pos_as_xyz
'x,y,z'
loop_
_atom_site_label
_atom_site_type_symbol
_atom_site_fract_x
_atom_site_fract_y
_atom_site_fract_z
_atom_site_occupancy
Eu1 Eu 0.7340 0.7340 0.7980 1
Eu2 Eu 0.2660 0.2660 0.2020 1
I1 I 0.5000 0.5000 0.5000 1
Cu1 Cu 0.0000 0.0000 0.0000 1
```



Which one sits at the top of the stability order? #x does.



#w
Compound: LaEuCu
Source: Alexandria via LeMat-Bulk
Functional: PBE
Structure: optimized geometry

Values from the calculation:
DOS at the Fermi energy = 1.313 states/eV per atom
symmetry = I4mm

CIF file:
```
data_LaEuCu
_cell_length_a 3.6819
_cell_length_b 3.6819
_cell_length_c 7.0591
_cell_angle_alpha 105.12
_cell_angle_beta 105.12
_cell_angle_gamma 90.00
_symmetry_space_group_name_H-M 'P 1'
_symmetry_Int_Tables_number 1
loop_
_symmetry_equiv_pos_as_xyz
'x,y,z'
loop_
_atom_site_label
_atom_site_type_symbol
_atom_site_fract_x
_atom_site_fract_y
_atom_site_fract_z
_atom_site_occupancy
Eu1 Eu 0.0317 0.0317 0.0634 1
Cu1 Cu 0.6713 0.6713 0.3427 1
La1 La 0.2970 0.2970 0.5939 1
```



#x
Compound: LaEuCu
Source: Alexandria via LeMat-Bulk
Functional: PBE
Structure: optimized geometry

Values from the calculation:
DOS at the Fermi energy = 1.790 states/eV per atom
symmetry = P3m1

CIF file:
```
data_LaEuCu
_cell_length_a 3.9617
_cell_length_b 3.9617
_cell_length_c 7.1729
_cell_angle_alpha 90.00
_cell_angle_beta 90.00
_cell_angle_gamma 120.00
_symmetry_space_group_name_H-M 'P 1'
_symmetry_Int_Tables_number 1
loop_
_symmetry_equiv_pos_as_xyz
'x,y,z'
loop_
_atom_site_label
_atom_site_type_symbol
_atom_site_fract_x
_atom_site_fract_y
_atom_site_fract_z
_atom_site_occupancy
Eu1 Eu 0.3333 0.6667 0.6041 1
Cu1 Cu 0.6667 0.3333 0.3265 1
La1 La 0.0000 0.0000 0.0694 1
```



Which one sits at the top of the stability order? #w does.



#w
Compound: EuLuCu2
Source: Alexandria via LeMat-Bulk
Functional: PBE
Structure: optimized geometry

Values from the calculation:
DOS at the Fermi energy = 1.547 states/eV per atom
symmetry = Fm-3m

CIF file:
```
data_EuLuCu2
_cell_length_a 4.9461
_cell_length_b 4.9461
_cell_length_c 4.9461
_cell_angle_alpha 60.00
_cell_angle_beta 60.00
_cell_angle_gamma 60.00
_symmetry_space_group_name_H-M 'P 1'
_symmetry_Int_Tables_number 1
loop_
_symmetry_equiv_pos_as_xyz
'x,y,z'
loop_
_atom_site_label
_atom_site_type_symbol
_atom_site_fract_x
_atom_site_fract_y
_atom_site_fract_z
_atom_site_occupancy
Eu1 Eu 0.0000 0.0000 0.0000 1
Lu1 Lu 0.5000 0.5000 0.5000 1
Cu1 Cu 0.2500 0.2500 0.2500 1
Cu2 Cu 0.7500 0.7500 0.7500 1
```



#x
Compound: EuLuCu2
Source: Alexandria via LeMat-Bulk
Functional: PBE
Structure: optimized geometry

Values from the calculation:
DOS at the Fermi energy = 1.458 states/eV per atom
symmetry = P4/mmm

CIF file:
```
data_EuLuCu2
_cell_length_a 3.5004
_cell_length_b 3.5004
_cell_length_c 7.0796
_cell_angle_alpha 90.00
_cell_angle_beta 90.00
_cell_angle_gamma 90.00
_symmetry_space_group_name_H-M 'P 1'
_symmetry_Int_Tables_number 1
loop_
_symmetry_equiv_pos_as_xyz
'x,y,z'
loop_
_atom_site_label
_atom_site_type_symbol
_atom_site_fract_x
_atom_site_fract_y
_atom_site_fract_z
_atom_site_occupancy
Eu1 Eu 0.5000 0.5000 0.5000 1
Lu1 Lu 0.5000 0.5000 0.0000 1
Cu1 Cu 0.0000 0.0000 0.7935 1
Cu2 Cu 0.0000 0.0000 0.2065 1
```



Which one sits at the top of the stability order? #x does.



#w
Compound: EuLu2Cu
Source: Alexandria via LeMat-Bulk
Functional: PBE
Structure: optimized geometry

Values from the calculation:
DOS at the Fermi energy = 0.956 states/eV per atom
symmetry = P4/mmm

CIF file:
```
data_EuLu2Cu
_cell_length_a 3.4498
_cell_length_b 3.4498
_cell_length_c 9.0434
_cell_angle_alpha 90.00
_cell_angle_beta 90.00
_cell_angle_gamma 90.00
_symmetry_space_group_name_H-M 'P 1'
_symmetry_Int_Tables_number 1
loop_
_symmetry_equiv_pos_as_xyz
'x,y,z'
loop_
_atom_site_label
_atom_site_type_symbol
_atom_site_fract_x
_atom_site_fract_y
_atom_site_fract_z
_atom_site_occupancy
Eu1 Eu 0.5000 0.5000 0.5000 1
Lu1 Lu 0.0000 0.0000 0.8185 1
Lu2 Lu 0.0000 0.0000 0.1815 1
Cu1 Cu 0.5000 0.5000 0.0000 1
```



#x
Compound: EuLu2Cu
Source: Alexandria via LeMat-Bulk
Functional: PBE
Structure: optimized geometry

Values from the calculation:
DOS at the Fermi energy = 0.922 states/eV per atom
symmetry = R-3m

CIF file:
```
data_EuLu2Cu
_cell_length_a 5.2278
_cell_length_b 5.2278
_cell_length_c 5.2210
_cell_angle_alpha 59.96
_cell_angle_beta 59.96
_cell_angle_gamma 60.00
_symmetry_space_group_name_H-M 'P 1'
_symmetry_Int_Tables_number 1
loop_
_symmetry_equiv_pos_as_xyz
'x,y,z'
loop_
_atom_site_label
_atom_site_type_symbol
_atom_site_fract_x
_atom_site_fract_y
_atom_site_fract_z
_atom_site_occupancy
Eu1 Eu 0.5000 0.5000 0.5000 1
Lu1 Lu 0.2497 0.2497 0.2510 1
Lu2 Lu 0.7503 0.7503 0.7490 1
Cu1 Cu 0.0000 0.0000 0.0000 1
```



Which one sits at the top of the stability order? #w does.